[1]
First-principles (PBE) data for a geometry-optimized Mg3TiCd4 structure, as listed in Alexandria via LeMat-Bulk.

Structure (CIF):
```
data_Mg3TiCd4
_chemical_formula_sum 'Mg3 Ti1 Cd4'
_space_group_name_H-M_alt 'P 1'
_space_group_IT_number 1
_space_group_name_Hall 'P 1'
_cell_length_a 3.1783
_cell_length_b 3.1783
_cell_length_c 16.3454
_cell_angle_alpha 90.00
_cell_angle_beta 90.00
_cell_angle_gamma 90.00
loop_
_atom_site_label
_atom_site_type_symbol
_atom_site_fract_x
_atom_site_fract_y
_atom_site_fract_z
_atom_site_occupancy
Mg1 Mg 0.0000 0.0000 0.0000 1
Mg2 Mg 0.0000 0.0000 0.2563 1
Mg3 Mg 0.0000 0.0000 0.7437 1
Ti1 Ti 0.0000 0.0000 0.5000 1
Cd1 Cd 0.5000 0.5000 0.1283 1
Cd2 Cd 0.5000 0.5000 0.3816 1
Cd3 Cd 0.5000 0.5000 0.6184 1
Cd4 Cd 0.5000 0.5000 0.8717 1
```

Results
DFT total energy: -2.0981 eV/atom
Symmetry: P4/mmm
Theoretical density: 5.7 g/cm³
Magnetic moment: 0.1 Bohr magnetons per cell

=====

[2]
First-principles (PBE) data for a geometry-optimized CoBiBr3 structure, as listed in Alexandria via LeMat-Bulk.

Structure (CIF):
```
data_CoBiBr3
_chemical_formula_sum 'Co1 Bi1 Br3'
_space_group_name_H-M_alt 'P 1'
_space_group_IT_number 1
_space_group_name_Hall 'P 1'
_cell_length_a 5.0151
_cell_length_b 5.0151
_cell_length_c 5.0151
_cell_angle_alpha 90.00
_cell_angle_beta 90.00
_cell_angle_gamma 90.00
loop_
_atom_site_label
_atom_site_type_symbol
_atom_site_fract_x
_atom_site_fract_y
_atom_site_fract_z
_atom_site_occupancy
Co1 Co 0.0000 0.0000 0.0000 1
Bi1 Bi 0.5000 0.5000 0.5000 1
Br1 Br 0.0000 0.0000 0.5000 1
Br2 Br 0.0000 0.5000 0.0000 1
Br3 Br 0.5000 0.0000 0.0000 1
```

Results
Symmetry: Pm-3m
Theoretical density: 6.7 g/cm³
E_form (uncorrected): 46 meV per atom
Magnetic moment: 1.9 Bohr magnetons per cell
Energy above the lowest structure with this stoichiometry: 0 meV per atom

=====

[3]
First-principles (PBE) data for a geometry-optimized CdBrO2 structure, as listed in Alexandria via LeMat-Bulk.

Structure (CIF):
```
data_CdBrO2
_chemical_formula_sum 'Cd2 Br2 O4'
_space_group_name_H-M_alt 'P 1'
_space_group_IT_number 1
_space_group_name_Hall 'P 1'
_cell_length_a 5.2327
_cell_length_b 5.2327
_cell_length_c 6.6518
_cell_angle_alpha 108.43
_cell_angle_beta 108.43
_cell_angle_gamma 90.83
loop_
_atom_site_label
_atom_site_type_symbol
_atom_site_fract_x
_atom_site_fract_y
_atom_site_fract_z
_atom_site_occupancy
Cd1 Cd 0.0407 0.9593 0.7500 1
Cd2 Cd 0.9593 0.0407 0.2500 1
Br1 Br 0.4499 0.5501 0.7500 1
Br2 Br 0.5501 0.4499 0.2500 1
O1 O 0.1405 0.2635 0.6114 1
O2 O 0.2635 0.1405 0.1114 1
O3 O 0.7365 0.8595 0.8886 1
O4 O 0.8595 0.7365 0.3886 1
```

Results
Symmetry: C2/c
Theoretical density: 4.6 g/cm³
E_form (uncorrected): -293 meV per atom
Magnetic moment: 0.0 Bohr magnetons per cell
Energy above the lowest structure with this stoichiometry: 148 meV per atom

=====

[4]
First-principles (PBE) data for a geometry-optimized HfNb3 structure, as listed in Alexandria via LeMat-Bulk.

Structure (CIF):
```
data_HfNb3
_chemical_formula_sum 'Hf1 Nb3'
_space_group_name_H-M_alt 'P 1'
_space_group_IT_number 1
_space_group_name_Hall 'P 1'
_cell_length_a 5.6650
_cell_length_b 5.6650
_cell_length_c 5.6650
_cell_angle_alpha 139.10
_cell_angle_beta 139.10
_cell_angle_gamma 59.22
loop_
_atom_site_label
_atom_site_type_symbol
_atom_site_fract_x
_atom_site_fract_y
_atom_site_fract_z
_atom_site_occupancy
Hf1 Hf 0.0000 0.0000 0.0000 1
Nb1 Nb 0.2500 0.7500 0.5000 1
Nb2 Nb 0.5000 0.5000 0.0000 1
Nb3 Nb 0.7500 0.2500 0.5000 1
```

Results
Symmetry: I4/mmm
Theoretical density: 9.8 g/cm³
Magnetic moment: 0.0 Bohr magnetons per cell
Energy above the lowest structure with this stoichiometry: 123 meV per atom

=====

[5]
First-principles (PBE) data for a geometry-optimized Be4FeHg structure, as listed in Alexandria via LeMat-Bulk.

Structure (CIF):
```
data_Be4FeHg
_chemical_formula_sum 'Be4 Fe1 Hg1'
_space_group_name_H-M_alt 'P 1'
_space_group_IT_number 1
_space_group_name_Hall 'P 1'
_cell_length_a 4.4454
_cell_length_b 4.4454
_cell_length_c 4.4454
_cell_angle_alpha 60.00
_cell_angle_beta 60.00
_cell_angle_gamma 60.00
loop_
_atom_site_label
_atom_site_type_symbol
_atom_site_fract_x
_atom_site_fract_y
_atom_site_fract_z
_atom_site_occupancy
Be1 Be 0.1224 0.1224 0.1224 1
Be2 Be 0.1224 0.1224 0.6329 1
Be3 Be 0.1224 0.6329 0.1224 1
Be4 Be 0.6329 0.1224 0.1224 1
Fe1 Fe 0.7500 0.7500 0.7500 1
Hg1 Hg 0.5000 0.5000 0.5000 1
```

Results
DFT total energy: -3.8005 eV/atom
Symmetry: F-43m
Theoretical density: 7.8 g/cm³
Magnetic moment: 1.8 Bohr magnetons per cell

=====

[6]
First-principles (PBE) data for a geometry-optimized Li4ReAg structure, as listed in Alexandria via LeMat-Bulk.

Structure (CIF):
```
data_Li4ReAg
_chemical_formula_sum 'Li4 Re1 Ag1'
_space_group_name_H-M_alt 'P 1'
_space_group_IT_number 1
_space_group_name_Hall 'P 1'
_cell_length_a 4.9280
_cell_length_b 4.9280
_cell_length_c 4.9280
_cell_angle_alpha 60.00
_cell_angle_beta 60.00
_cell_angle_gamma 60.00
loop_
_atom_site_label
_atom_site_type_symbol
_atom_site_fract_x
_atom_site_fract_y
_atom_site_fract_z
_atom_site_occupancy
Li1 Li 0.1240 0.1240 0.1240 1
Li2 Li 0.1240 0.1240 0.6280 1
Li3 Li 0.1240 0.6280 0.1240 1
Li4 Li 0.6280 0.1240 0.1240 1
Re1 Re 0.7500 0.7500 0.7500 1
Ag1 Ag 0.5000 0.5000 0.5000 1
```

Results
DFT total energy: -3.3027 eV/atom
Symmetry: F-43m
Theoretical density: 6.3 g/cm³
Magnetic moment: 1.8 Bohr magnetons per cell